The following is a GGA-PBE calculation of a geometry-optimized NaNdAgHg structure, from Alexandria.

Cell lengths 5.225, 5.225, 5.225 Å; angles 60.00, 60.00, 60.00 degrees
Positions (direct):
Nd  0.000  0.000  0.000
Hg  0.250  0.250  0.250
Na  0.500  0.500  0.500
Ag  0.750  0.750  0.750

Computed properties:
Symmetry ... F-43m
Calculated total energy ... -2.5505 eV/atom
Total magnetic moment ... 0.00 μB per cell